1.
This record from Alexandria describes a relaxed ReAg2Cl6 crystal. The functional is PBE-GGA.

Lattice parameters (Å, degrees): 6.7417 6.3397 11.0694 90.00 89.98 90.00
Each line ends with the local moment (μB).
Atoms (fractional coordinates):
Re: 0.5000 0.5000 0.0000  2.19
Re: 0.0000 0.0000 0.5000  2.19
Ag: 0.9999 0.5003 0.8064  0.03
Ag: 0.5001 0.0003 0.6936  0.03
Ag: 0.4999 0.9997 0.3064  0.03
Ag: 0.0001 0.4997 0.1936  0.03
Cl: 0.8441 0.7903 0.3482  0.04
Cl: 0.8435 0.7890 0.6510  0.04
Cl: 0.7831 0.7199 0.9998  0.06
Cl: 0.7169 0.2199 0.5002  0.06
Cl: 0.6565 0.2890 0.8490  0.04
Cl: 0.6559 0.2903 0.1518  0.04
Cl: 0.1559 0.2097 0.6518  0.04
Cl: 0.1565 0.2110 0.3490  0.04
Cl: 0.2169 0.2801 0.0002  0.06
Cl: 0.2831 0.7801 0.4998  0.06
Cl: 0.3435 0.7110 0.1510  0.04
Cl: 0.3441 0.7097 0.8482  0.04

Calculated values
**Space-group type**: P2_1/c

---

2.
This record from Alexandria describes a relaxed Re2AgCl crystal. The functional is PBE-GGA.

Lattice parameters (Å, degrees): 2.8068 2.8068 9.4884 90.00 90.00 120.52
Atoms (fractional coordinates):
Re: 0.0000 0.0000 0.9864
Re: 0.0000 0.0000 0.5136
Ag: 0.5000 0.5000 0.2500
Cl: 0.5000 0.5000 0.7500

Calculated values
**DOS(E_F)**: 4.4 states/eV/cell
**Space-group type**: Cmmm

---

3.
This record from Alexandria describes a relaxed Re2AgCl crystal. The functional is PBE-GGA.

Lattice parameters (Å, degrees): 6.0195 6.0195 6.0195 149.26 133.29 56.96
Atoms (fractional coordinates):
Re: 0.9894 0.9894 0.0000
Re: 0.8304 0.3304 0.5000
Ag: 0.4829 0.4829 0.0000
Cl: 0.1973 0.6973 0.5000

Calculated values
**DOS(E_F)**: 1.1 states/eV/cell
**Space-group type**: Imm2

---

4.
This record from Alexandria describes a relaxed ReAgSCl2 crystal. The functional is PBE-GGA.

Lattice parameters (Å, degrees): 4.9892 4.9892 4.4623 90.00 90.00 90.00
Each line ends with the local moment (μB).
Atoms (fractional coordinates):
Re: 0.0000 0.0000 0.0000  0.58
S: 0.0000 0.0000 0.5000  -0.02
Ag: 0.5000 0.5000 0.5000  0.01
Cl: 0.0000 0.5000 0.0000  0.01
Cl: 0.5000 0.0000 0.0000  0.01

Calculated values
**DOS(E_F)**: 2.6 states/eV/cell
**Space-group type**: P4/mmm

---

5.
This record from Alexandria describes a relaxed ReAgSCl2 crystal. The functional is PBE-GGA.

Lattice parameters (Å, degrees): 4.8369 4.8369 5.1501 90.00 90.00 90.00
Each line ends with the local moment (μB).
Atoms (fractional coordinates):
Re: 0.5000 0.5000 0.5000  4.20
S: 0.0000 0.0000 0.5000  -0.10
Ag: 0.0000 0.0000 0.0000  0.00
Cl: 0.0000 0.5000 0.0000  0.06
Cl: 0.5000 0.0000 0.0000  0.06

Calculated values
**DOS(E_F)**: 1.7 states/eV/cell
**Space-group type**: P4/mmm

---

6.
This record from Alexandria describes a relaxed TaRe2AgCl crystal. The functional is PBE-GGA.

Lattice parameters (Å, degrees): 4.9733 4.4043 4.9733 90.00 90.00 90.00
Each line ends with the local moment (μB).
Atoms (fractional coordinates):
Re: 0.0000 0.0000 0.5000  1.84
Re: 0.5000 0.0000 0.0000  1.62
Cl: 0.0000 0.5000 0.0000  0.10
Ag: 0.0000 0.0000 0.0000  0.09
Ta: 0.5000 0.5000 0.5000  -0.83

Calculated values
**DOS(E_F)**: 3.8 states/eV/cell
**Space-group type**: P4/mmm

---

Number 1: electronic total energy -3.781 eV per atom. Number 2: electronic total energy -6.404 eV per atom. Number 3: electronic total energy -6.463 eV per atom. Number 4: electronic total energy -4.398 eV per atom. Number 5: electronic total energy -3.495 eV per atom. Number 6: electronic total energy -5.651 eV per atom.